No. 1
Entry from Alexandria via LeMat-Bulk: a relaxed structure of CdPSe (PBEsol).

## Properties
Calculated total energy: -9.49 eV for the cell shown
Energy above the lowest structure with this stoichiometry: 0.0639 eV/atom
Volume: 60 Å³ per cell
Space-group type: P3m1 (156)

```
CdPSe
1.0
-0.0274 1.5308 -2.6158
-2.3701 0.1718 1.8813
3.1775 5.9663 3.4583
P Se Cd
1 1 1
Direct
0.3333 0.6667 0.7103
0.6667 0.3333 0.2992
0.0000 0.0000 0.9904
```

No. 2
Entry from Alexandria via LeMat-Bulk: a relaxed structure of Tc2C (PBEsol).

## Properties
Calculated total energy: -62.81 eV for the cell shown
Energy above the lowest structure with this stoichiometry: 0.2785 eV/atom
Volume: 69 Å³ per cell
Space-group type: Cmcm (63)

```
Tc2C
1.0
-0.2216 2.7453 -0.2696
-1.0828 -0.3327 -2.4973
-7.1156 -1.3529 6.2745
C Tc
2 4
Direct
0.1453 0.0405 0.2907
0.8547 0.9595 0.7093
0.6932 0.6361 0.3864
0.3068 0.3639 0.6136
0.5589 0.8678 0.1178
0.4411 0.1322 0.8822
```

No. 3
Entry from Alexandria via LeMat-Bulk: a relaxed structure of HgOsPb2 (PBEsol).

## Properties
Calculated total energy: -17.94 eV for the cell shown
Volume: 91 Å³ per cell
Space-group type: Cmm2 (35)

```
HgOsPb2
1.0
3.1477 -0.0467 0.0000
-1.4335 2.8027 0.0000
0.0000 0.0000 10.4002
Hg Os Pb
1 1 2
Direct
0.0000 0.0000 0.4717
0.5000 0.5000 0.2571
0.0000 0.0000 0.0449
0.5000 0.5000 0.7264
```

No. 4
Entry from Alexandria via LeMat-Bulk: a relaxed structure of Mg2AlTe (PBEsol).

## Properties
Calculated total energy: -11.09 eV for the cell shown
Energy above the lowest structure with this stoichiometry: 0.1419 eV/atom
Volume: 91 Å³ per cell
Space-group type: Pmm2 (25)

```
Mg2AlTe
1.0
3.1075 0.0037 0.0000
-0.0060 5.4231 0.0000
0.0000 0.0000 5.3973
Al Mg Te
1 2 1
Direct
0.3752 0.1431 0.5000
0.8751 0.1047 0.0000
0.8750 0.6480 0.5000
0.3747 0.6042 0.0000
```

No. 5
Entry from Alexandria via LeMat-Bulk: a relaxed structure of LaZn2Os (PBEsol).

## Properties
Calculated total energy: -19.70 eV for the cell shown
Volume: 74 Å³ per cell
Space-group type: P4/mmm (123)

```
LaZn2Os
1.0
3.9779 0.0000 0.0000
0.0000 3.9779 0.0000
0.0000 0.0000 4.6863
La Os Zn
1 1 2
Direct
0.5000 0.5000 0.5000
0.0000 0.0000 0.5000
0.0000 0.5000 0.0000
0.5000 0.0000 0.0000
```

No. 6
Entry from Alexandria via LeMat-Bulk: a relaxed structure of La2TaSi (PBEsol).

## Properties
Calculated total energy: -28.08 eV for the cell shown
Volume: 89 Å³ per cell
Space-group type: F-43m (216)

```
La2TaSi
1.0
5.0056 0.0000 0.0000
2.5028 4.3350 0.0000
2.5028 1.4450 4.0870
La Si Ta
2 1 1
Direct
0.0000 0.0000 0.0000
0.7500 0.7500 0.7500
0.5000 0.5000 0.5000
0.2500 0.2500 0.2500
```

No. 7
Entry from Alexandria via LeMat-Bulk: a relaxed structure of RbPb2Br5 (PBEsol).

## Properties
Calculated total energy: -54.63 eV for the cell shown
Volume: 502 Å³ per cell
Space-group type: I4/mcm (140)

```
RbPb2Br5
1.0
-5.6670 6.0611 0.6779
2.6727 -4.1071 7.9414
5.3654 5.3945 -3.3797
Br Pb Rb
10 4 2
Direct
0.5000 0.0000 0.5000
0.0000 0.0000 0.0000
0.7118 0.7303 0.5185
0.0185 0.7303 0.2118
0.5185 0.7303 0.0185
0.2118 0.7303 0.7118
0.7882 0.2697 0.2882
0.4815 0.2697 0.9815
0.9815 0.2697 0.7882
0.2882 0.2697 0.4815
0.3385 0.0000 0.1615
0.6615 0.0000 0.8385
0.1615 0.0000 0.6615
0.8385 0.0000 0.3385
0.7500 0.5000 0.7500
0.2500 0.5000 0.2500
```

No. 8
Entry from Alexandria via LeMat-Bulk: a relaxed structure of Na4Al3FeO8 (PBEsol).

## Properties
Calculated total energy: -105.14 eV for the cell shown
Volume: 203 Å³ per cell
Space-group type: P1 (1)

```
Na4Al3FeO8
1.0
5.2579 -0.0005 0.0017
-0.0020 5.4773 0.0001
0.0018 -0.0029 7.0547
Na Al Fe O
4 3 1 8
Direct
0.5196 0.0677 0.3777
0.0149 0.9308 0.6254
0.0111 0.4248 0.8780
0.5171 0.5718 0.1196
0.4988 0.5650 0.6309
0.5017 0.0640 0.8741
0.0016 0.9378 0.1214
0.0006 0.4370 0.3736
0.6514 0.4700 0.4197
0.1665 0.5405 0.5919
0.1722 0.0401 0.9213
0.6719 0.9697 0.0771
0.0764 0.1055 0.3299
0.5739 0.8760 0.6756
0.5759 0.3746 0.8258
0.0744 0.6246 0.1581
```